Record 1
This record from the Alexandria database describes a relaxed La2PmPr4Dy crystal. The functional is GGA-PBE.

```
data_La2PmPr4Dy
_cell_length_a 5.209
_cell_length_b 5.225
_cell_length_c 10.484
_cell_angle_alpha 90.00
_cell_angle_beta 90.12
_cell_angle_gamma 90.00
_space_group_name_H-M_alt 'P 1 2/m 1'
_space_group_IT_number 10
loop_
_space_group_symop_operation_xyz
'x,y,z'
'-x,-y,-z'
'-x,y,-z'
'x,-y,z'
loop_
_atom_site_label
_atom_site_type_symbol
_atom_site_fract_x
_atom_site_fract_y
_atom_site_fract_z
_atom_site_occupancy
La1 La 0.000 0.000 0.000 1
La2 La 0.500 0.500 0.500 1
Pm1 Pm 0.000 0.000 0.500 1
Pr1 Pr 0.001 0.500 0.752 1
Pr2 Pr 0.500 0.000 0.249 1
Dy1 Dy 0.500 0.500 0.000 1
```

Calculated values
- formation enthalpy at 0 K (eV/atom) = 0.018
- DOS at the Fermi energy (states/eV/cell) = 13.68


Record 2
This record from the Alexandria database describes a relaxed NaGdTm2 crystal. The functional is GGA-PBE.

```
data_NaGdTm2
_cell_length_a 3.4642
_cell_length_b 3.4642
_cell_length_c 37.7879
_cell_angle_alpha 90.00
_cell_angle_beta 90.00
_cell_angle_gamma 120.00
_space_group_name_H-M_alt 'R -3 m'
_space_group_IT_number 166
_space_group_name_Hall '-R 3 2"'
loop_
_atom_site_label
_atom_site_type_symbol
_atom_site_fract_x
_atom_site_fract_y
_atom_site_fract_z
_atom_site_occupancy
Na1 Na 0.0000 0.0000 0.0000 1
Gd1 Gd 0.0000 0.0000 0.5000 1
Tm1 Tm 0.0000 0.0000 0.0917 1
```

Calculated values
- formation enthalpy at 0 K (eV/atom) = 0.192
- DOS at the Fermi energy (states/eV/cell) = 17.20


Record 3
This record from the Alexandria database describes a relaxed Tb6TmAg crystal. The functional is GGA-PBE.

```
data_Tb6TmAg
_cell_length_a 9.2809
_cell_length_b 9.2809
_cell_length_c 9.7915
_cell_angle_alpha 90.00
_cell_angle_beta 90.00
_cell_angle_gamma 120.00
_space_group_name_H-M_alt 'R -3'
_space_group_IT_number 148
_space_group_name_Hall '-R 3'
loop_
_atom_site_label
_atom_site_type_symbol
_atom_site_fract_x
_atom_site_fract_y
_atom_site_fract_z
_atom_site_occupancy
Tb1 Tb 0.0298 0.7772 0.2089 1
Tm1 Tm 0.0000 0.0000 0.5000 1
Ag1 Ag 0.0000 0.0000 0.0000 1
```

Calculated values
- formation enthalpy at 0 K (eV/atom) = 0.044
- DOS at the Fermi energy (states/eV/cell) = 34.29


Record 4
This record from the Alexandria database describes a relaxed Ag2Pt2N crystal. The functional is GGA-PBE.

```
data_Ag2Pt2N
_cell_length_a 5.613
_cell_length_b 5.613
_cell_length_c 5.103
_cell_angle_alpha 90.00
_cell_angle_beta 90.00
_cell_angle_gamma 90.00
_space_group_name_H-M_alt 'P 4/m b m'
_space_group_IT_number 127
_space_group_name_Hall '-P 4 2ab'
loop_
_atom_site_label
_atom_site_type_symbol
_atom_site_fract_x
_atom_site_fract_y
_atom_site_fract_z
_atom_site_occupancy
Ag1 Ag 0.184 0.316 0.000 1
Pt1 Pt 0.172 0.672 0.500 1
N1 N 0.000 0.000 0.000 1
```

Calculated values
- energy above the lowest structure with this stoichiometry (eV per atom) = 0.000
- formation energy without anion corrections (eV per atom) = 1.05
- DOS at the Fermi energy (states/eV/cell) = 8.27


What did the fourth record say?
This record from the Alexandria database describes a relaxed Ag2Pt2N crystal. The functional is GGA-PBE.

```
data_Ag2Pt2N
_cell_length_a 5.613
_cell_length_b 5.613
_cell_length_c 5.103
_cell_angle_alpha 90.00
_cell_angle_beta 90.00
_cell_angle_gamma 90.00
_space_group_name_H-M_alt 'P 4/m b m'
_space_group_IT_number 127
_space_group_name_Hall '-P 4 2ab'
loop_
_atom_site_label
_atom_site_type_symbol
_atom_site_fract_x
_atom_site_fract_y
_atom_site_fract_z
_atom_site_occupancy
Ag1 Ag 0.184 0.316 0.000 1
Pt1 Pt 0.172 0.672 0.500 1
N1 N 0.000 0.000 0.000 1
```

Calculated values
- energy above the lowest structure with this stoichiometry (eV per atom) = 0.000
- formation energy without anion corrections (eV per atom) = 1.05
- DOS at the Fermi energy (states/eV/cell) = 8.27


Q: Look up the DOS at the Fermi energy of the third one.
A: 34.29 states/eV/cell